! Tb3PrTm2 PBE optimized geometry; values from VASP
&SYSTEM
  ibrav = 0, nat = 6, ntyp = 3
/
ATOMIC_SPECIES
Tb 158.93 Tb.upf
Pr 140.91 Pr.upf
Tm 168.93 Tm.upf
CELL_PARAMETERS angstrom
-1.7331 2.9426 9.7649
1.7331 -2.9426 9.7649
1.7331 2.9426 -9.7649
ATOMIC_POSITIONS angstrom
Tb 0.0000 0.0000 0.0000
Tb 1.7331 0.0000 5.9802
Tb 0.0000 2.9426 3.7847
Pr 0.0000 2.9426 0.0000
Tm 1.7331 0.0000 2.7017
Tm 0.0000 2.9426 7.0632
! formation enthalpy at 0 K: 0.359 eV/atom
! offset from the most stable computed form: 0.362 eV per atom
! SG: Immm, No. 71



! SmTh3 PBE optimized geometry; values from VASP
&SYSTEM
  ibrav = 0, nat = 4, ntyp = 2
/
ATOMIC_SPECIES
Sm 150.36 Sm.upf
Th 232.04 Th.upf
CELL_PARAMETERS angstrom
-1.7840 5.9302 3.1052
1.7840 -5.9302 3.1052
1.7840 5.9302 -3.1052
ATOMIC_POSITIONS angstrom
Sm 0.0000 0.0000 0.0000
Th 1.7840 2.9629 1.0880
Th 0.0000 5.9302 0.0418
Th 0.0000 2.9673 4.1932
! formation enthalpy at 0 K: 0.065 eV/atom
! offset from the most stable computed form: 0.016 eV per atom
! SG: Imm2, No. 44



! NbZnBi2C PBE optimized geometry; values from VASP
&SYSTEM
  ibrav = 0, nat = 5, ntyp = 4
/
ATOMIC_SPECIES
Nb 92.91 Nb.upf
Zn 65.41 Zn.upf
Bi 208.98 Bi.upf
C 12.01 C.upf
CELL_PARAMETERS angstrom
5.2868 0.0000 0.0000
0.0000 5.2868 0.0000
0.0000 0.0000 3.7110
ATOMIC_POSITIONS angstrom
Nb 0.0000 0.0000 0.0000
Zn 2.6434 2.6434 0.0000
Bi 0.0000 2.6434 1.8555
Bi 2.6434 0.0000 1.8555
C 2.6434 2.6434 1.8555
! formation enthalpy at 0 K: 0.942 eV/atom
! SG: P4/mmm, No. 123



! TiAsRh2O PBE optimized geometry; values from VASP
&SYSTEM
  ibrav = 0, nat = 5, ntyp = 4
/
ATOMIC_SPECIES
Ti 47.87 Ti.upf
As 74.92 As.upf
Rh 102.91 Rh.upf
O 16.00 O.upf
CELL_PARAMETERS angstrom
4.4747 0.0000 0.0000
0.0000 4.4747 0.0000
0.0000 0.0000 4.8618
ATOMIC_POSITIONS angstrom
Ti 0.0000 0.0000 0.0000
As 0.0000 0.0000 2.4309
Rh 0.0000 2.2373 2.4309
Rh 2.2373 0.0000 2.4309
O 2.2373 2.2373 0.0000
! raw formation energy: 3.765 eV per formula unit
! SG: P4/mmm, No. 123



! HoInGaHg PBE optimized geometry; values from VASP
&SYSTEM
  ibrav = 0, nat = 4, ntyp = 4
/
ATOMIC_SPECIES
Ho 164.93 Ho.upf
In 114.82 In.upf
Ga 69.72 Ga.upf
Hg 200.59 Hg.upf
CELL_PARAMETERS angstrom
0.0000 3.6016 3.6016
3.6016 0.0000 3.6016
3.6016 3.6016 0.0000
ATOMIC_POSITIONS angstrom
Ho 0.0000 0.0000 0.0000
In 3.6016 3.6016 3.6016
Ga 5.4024 5.4024 5.4024
Hg 1.8008 1.8008 1.8008
! formation enthalpy at 0 K: -0.250 eV/atom
! offset from the most stable computed form: 0.138 eV per atom
! SG: F-43m, No. 216



! PrDyHo2 PBE optimized geometry; values from VASP
&SYSTEM
  ibrav = 0, nat = 4, ntyp = 3
/
ATOMIC_SPECIES
Pr 140.91 Pr.upf
Dy 162.50 Dy.upf
Ho 164.93 Ho.upf
CELL_PARAMETERS angstrom
3.5772 0.0000 0.0000
0.0000 3.5772 0.0000
0.0000 0.0000 10.1189
ATOMIC_POSITIONS angstrom
Pr 0.0000 0.0000 0.0000
Dy 0.0000 0.0000 5.0594
Ho 1.7886 1.7886 2.5898
Ho 1.7886 1.7886 7.5291
! formation enthalpy at 0 K: 0.025 eV/atom
! offset from the most stable computed form: 0.024 eV per atom
! SG: P4/mmm, No. 123



! Mn3Si23 PBE optimized geometry; values from VASP
&SYSTEM
  ibrav = 0, nat = 52, ntyp = 2
/
ATOMIC_SPECIES
Mn 54.94 Mn.upf
Si 28.09 Si.upf
CELL_PARAMETERS angstrom
10.1622 0.0000 0.0000
0.0000 10.1622 0.0000
0.0000 0.0000 10.1622
ATOMIC_POSITIONS angstrom
Mn 0.0000 2.5405 5.0811
Mn 0.0000 7.6216 5.0811
Mn 2.5405 5.0811 0.0000
Mn 5.0811 0.0000 2.5405
Mn 5.0811 0.0000 7.6216
Mn 7.6216 5.0811 0.0000
Si 0.0000 3.1459 1.1845
Si 0.0000 3.1459 8.9777
Si 0.0000 5.0811 2.5405
Si 0.0000 5.0811 7.6216
Si 0.0000 7.0163 1.1845
Si 0.0000 7.0163 8.9777
Si 1.1845 0.0000 3.1459
Si 1.1845 0.0000 7.0163
Si 1.8703 1.8703 1.8703
Si 1.8703 1.8703 8.2919
Si 1.8703 8.2919 1.8703
Si 1.8703 8.2919 8.2919
Si 1.9352 5.0811 3.8966
Si 1.9352 5.0811 6.2656
Si 2.5405 0.0000 5.0811
Si 3.1459 1.1845 0.0000
Si 3.1459 8.9777 0.0000
Si 3.2108 3.2108 3.2108
Si 3.2108 3.2108 6.9514
Si 3.2108 6.9514 3.2108
Si 3.2108 6.9514 6.9514
Si 3.8966 1.9352 5.0811
Si 3.8966 8.2270 5.0811
Si 5.0811 2.5405 0.0000
Si 5.0811 3.8966 1.9352
Si 5.0811 3.8966 8.2270
Si 5.0811 6.2656 1.9352
Si 5.0811 6.2656 8.2270
Si 5.0811 7.6216 0.0000
Si 6.2656 1.9352 5.0811
Si 6.2656 8.2270 5.0811
Si 6.9514 3.2108 3.2108
Si 6.9514 3.2108 6.9514
Si 6.9514 6.9514 3.2108
Si 6.9514 6.9514 6.9514
Si 7.0163 1.1845 0.0000
Si 7.0163 8.9777 0.0000
Si 7.6216 0.0000 5.0811
Si 8.2270 5.0811 3.8966
Si 8.2270 5.0811 6.2656
Si 8.2919 1.8703 1.8703
Si 8.2919 1.8703 8.2919
Si 8.2919 8.2919 1.8703
Si 8.2919 8.2919 8.2919
Si 8.9777 0.0000 3.1459
Si 8.9777 0.0000 7.0163
! raw formation energy: 8.369 eV per formula unit
! SG: Pm-3n, No. 223



! Ni2MoHRu PBE optimized geometry; values from VASP
&SYSTEM
  ibrav = 0, nat = 5, ntyp = 4
/
ATOMIC_SPECIES
Ni 58.69 Ni.upf
Mo 95.94 Mo.upf
H 1.01 H.upf
Ru 101.07 Ru.upf
CELL_PARAMETERS angstrom
3.6659 0.0000 0.0000
0.0000 3.6659 0.0000
0.0000 0.0000 3.9894
ATOMIC_POSITIONS angstrom
Ni 0.0000 1.8329 0.0000
Ni 1.8329 0.0000 0.0000
Mo 0.0000 0.0000 1.9947
H 0.0000 0.0000 0.0000
Ru 1.8329 1.8329 1.9947
! offset from the most stable computed form: 0.000 eV per atom
! SG: P4/mmm, No. 123